Entry 1:
Density functional theory data (PBE-GGA) for a relaxed BaZn9Ni2 crystal.

As for the polymorph energy (0 for the lowest one): 0.068 eV per atom. The value obtained for the total magnetization is 0.0 μB/f.u. The formation energy comes out at -0.1353 eV/atom.

It has space group P6/mmm (No. 191), with a = 7.9391 Å, b = 7.9391 Å, c = 3.9721 Å, α = 90.00°, β = 90.00° and γ = 120.00°. The asymmetric unit holds Ba at (0.0000, 0.0000, 0.0000), Zn at (0.0000, 0.5000, 0.0000), Zn at (0.2135, 0.4270, 0.5000) and Ni at (0.3333, 0.6667, 0.0000).

Entry 2:
Density functional theory data (PBE-GGA) for a relaxed Sm3DyMg8 crystal.

The value obtained for the total magnetization is 0.0 μB/f.u. The formation energy comes out at -0.0867 eV/atom.

It has space group R3m (No. 160, hexagonal axes), with a = 6.0917 Å, b = 6.0917 Å, c = 29.6754 Å, α = 90.00°, β = 90.00° and γ = 120.00°. The asymmetric unit holds Sm at (0.0000, 0.0000, 0.0000), Sm at (0.0000, 0.0000, 0.1251), Sm at (0.0000, 0.0000, 0.6244), Dy at (0.0000, 0.0000, 0.4998), Mg at (0.0000, 0.0000, 0.3123), Mg at (0.0000, 0.0000, 0.8122), Mg at (0.9996, 0.4998, 0.5620) and Mg at (0.0007, 0.5004, 0.0628).

Entry 3:
Density functional theory data (PBE-GGA) for a relaxed Tl2TcSe crystal.

As for the formation energy without anion corrections: 0.70 eV per atom. As for the polymorph energy (0 for the lowest one): 0.637 eV per atom. The value obtained for the total magnetization is 3.0 μB/f.u.

It has space group F-43m (No. 216), with a = 7.216 Å, b = 7.216 Å, c = 7.216 Å, α = 90.00°, β = 90.00° and γ = 90.00°. The asymmetric unit holds Tl at (0.000, 0.000, 0.000), Tl at (0.250, 0.250, 0.250), Tc at (0.250, 0.250, 0.750) and Se at (0.000, 0.000, 0.500).

Entry 4:
Density functional theory data (PBE-GGA) for a relaxed ScRuBr2 crystal.

As for the formation energy without anion corrections: 0.03 eV per atom. As for the polymorph energy (0 for the lowest one): 0.602 eV per atom. The value obtained for the total magnetization is 0.0 μB/f.u.

It has space group I-4m2 (No. 119), with a = 3.864 Å, b = 3.864 Å, c = 10.376 Å, α = 90.00°, β = 90.00° and γ = 90.00°. The asymmetric unit holds Sc at (0.000, 0.000, 0.000), Ru at (0.000, 0.500, 0.250), Br at (0.000, 0.000, 0.500) and Br at (0.000, 0.500, 0.750).

| no. | total energy (eV/atom) | volume (Å³/f.u.) |
| --- | --- | --- |
| 1 | -2.21 | 217 |
| 2 | -2.71 | 318 |
| 3 | -3.95 | 94 |
| 4 | -4.70 | 77 |